This record from the Alexandria database describes a relaxed Ca5Ga2N4 crystal. The functional is PBEsol.

## Properties
Total DFT energy (no corrections), eV per cell: -122.4

```
22
Lattice="4.8234 0.0000 0.0000 -2.4117 5.5213 0.0000 0.0000 0.0000 14.1413" Properties=species:S:1:pos:R:3 pbc="T T T"
Ga 2.4117 1.0346 11.4107
Ga 0.0000 1.0346 9.8012
Ga 0.0000 4.4867 2.7306
Ga 2.4117 4.4867 4.3401
N 0.0000 4.6377 11.9187
N 2.4117 2.1487 13.0092
N 0.0000 0.8835 4.8481
N 2.4117 0.8835 2.2225
N 2.4117 4.6377 9.2932
N 0.0000 2.1487 8.2027
N 0.0000 3.3725 1.1321
N 2.4117 3.3725 5.9385
Ca 2.4117 3.0026 1.1406
Ca 0.0000 2.5187 13.0007
Ca 0.0000 0.0000 7.0706
Ca 0.0000 1.2775 2.4500
Ca 0.0000 4.2437 9.5207
Ca 2.4117 1.2775 4.6206
Ca 2.4117 2.5187 8.2112
Ca 0.0000 3.0026 5.9301
Ca 2.4117 4.2437 11.6912
Ca 2.4117 0.0000 0.0000
```

---

This record from the Alexandria database describes a relaxed Sr2Pt crystal. The functional is PBEsol.

## Properties
Energy relative to the elements, eV per atom: -0.54
Total DFT energy (no corrections), eV per cell: -12.3

```
3
Lattice="4.3336 0.0000 0.0000 -2.1668 3.7530 0.0000 0.0000 0.0000 6.8620" Properties=species:S:1:pos:R:3 pbc="T T T"
Sr 0.0000 2.5020 1.5916
Sr 2.1668 1.2510 5.2704
Pt 0.0000 0.0000 0.0000
```